(1)
Entry from the Alexandria database: crystalline Tb2Ge5Pd3 at its relaxed geometry (PBE-GGA).

```
Tb2Ge5Pd3
1.0
2.193 -12.221 0.000
2.193 12.221 0.000
0.000 0.000 6.982
Tb Ge Pd
4 10 6
Cartesian
2.193 11.729 3.491 Tb
2.193 4.263 3.501 Tb
2.193 -4.263 0.010 Tb
2.193 -11.729 0.000 Tb
2.193 9.729 5.921 Ge
2.193 7.209 2.184 Ge
2.193 7.066 5.060 Ge
2.193 2.875 6.802 Ge
2.193 1.167 4.687 Ge
2.193 -1.167 1.196 Ge
2.193 -2.875 3.312 Ge
2.193 -7.066 1.569 Ge
2.193 -7.209 5.674 Ge
2.193 -9.729 2.431 Ge
2.193 9.639 1.543 Pd
2.193 5.423 0.206 Pd
2.193 1.352 1.988 Pd
2.193 -1.352 5.479 Pd
2.193 -5.423 3.697 Pd
2.193 -9.639 5.033 Pd
```

Output
The density of states at the Fermi level comes out at 0.40 states/eV per atom. The value obtained for the size of the total moment is 0.000 μB per cell. The space-group type is Cmc2_1. The formation energy is -673 meV/atom. As for the energy above the most stable polymorph in this dataset: 0.028 eV per atom. Its raw total energy is -109.31 eV for the cell shown.

***

(2)
Entry from the Alexandria database: crystalline Tb4Pm2PrY2 at its relaxed geometry (PBE-GGA).

```
Tb4Pm2PrY2
1.0
9.429 -1.816 0.000
9.429 1.816 0.000
-4.188 0.000 8.694
Tb Pm Pr Y
4 2 1 2
Cartesian
-1.049 0.000 2.923 Tb
3.146 0.000 5.769 Tb
11.524 0.000 2.925 Tb
15.719 0.000 5.771 Tb
3.148 0.000 0.012 Pm
11.522 0.000 8.682 Pm
9.429 0.000 0.000 Pr
5.245 0.000 2.916 Y
9.425 0.000 5.777 Y
```

Output
The density of states at the Fermi level comes out at 1.37 states/eV per atom. The value obtained for the size of the total moment is 0.000 μB per cell. The space-group type is C2/m. The formation energy is -3 meV/atom. Its raw total energy is -45.76 eV for the cell shown.

***

(3)
Entry from the Alexandria database: crystalline Na2MgSi5O12 at its relaxed geometry (PBE-GGA).

```
Na2MgSi5O12
1.0
-5.774 5.774 5.747
5.774 -5.774 5.747
5.774 5.774 -5.747
Na Mg Si O
8 4 20 48
Cartesian
2.887 1.430 0.000 Na
1.457 0.000 2.874 Na
7.232 0.000 2.874 Na
2.887 -1.430 5.747 Na
2.887 7.204 0.000 Na
-1.457 5.774 2.874 Na
4.317 5.774 2.874 Na
2.887 4.345 5.747 Na
5.774 2.887 -1.437 Mg
0.000 2.887 1.437 Mg
5.774 2.887 4.311 Mg
0.000 2.887 7.184 Mg
0.000 0.000 0.000 Si
2.887 2.887 -2.874 Si
2.887 -2.887 2.874 Si
5.774 0.000 0.000 Si
8.661 1.430 0.000 Si
5.774 -2.887 4.311 Si
4.317 5.774 -2.874 Si
4.317 0.000 2.874 Si
5.774 2.887 1.437 Si
2.887 4.344 0.000 Si
-2.887 2.887 2.874 Si
0.000 5.774 0.000 Si
0.000 0.000 5.747 Si
2.887 2.887 2.874 Si
2.887 1.430 5.747 Si
0.000 2.887 4.311 Si
1.457 5.774 2.874 Si
1.457 0.000 8.621 Si
0.000 8.661 1.437 Si
-2.887 4.344 5.747 Si
1.675 -0.433 0.495 O
6.925 3.353 -3.209 O
6.925 -2.421 3.209 O
7.449 0.433 0.495 O
5.355 -0.506 1.677 O
9.094 -1.212 2.378 O
8.156 2.468 -1.197 O
0.466 1.736 -0.335 O
5.308 1.736 0.335 O
3.393 3.306 -1.197 O
3.320 -1.212 3.369 O
-0.419 0.506 1.677 O
5.355 5.269 -1.677 O
3.320 1.212 2.378 O
3.393 -3.306 6.944 O
5.308 -1.736 5.413 O
6.240 4.038 0.335 O
2.382 3.306 1.197 O
3.320 6.986 -2.378 O
5.355 0.506 4.070 O
1.675 5.341 -0.495 O
6.925 2.421 2.539 O
1.151 2.421 3.209 O
1.675 0.433 5.252 O
4.099 5.341 0.495 O
4.623 3.353 2.539 O
-1.151 3.353 3.209 O
4.099 0.433 6.243 O
0.419 5.269 1.677 O
2.454 -1.212 8.126 O
3.393 2.468 4.551 O
-0.466 1.736 5.413 O
0.466 7.510 0.335 O
2.382 9.080 -1.197 O
2.454 4.562 3.369 O
0.419 0.506 7.425 O
6.193 5.269 4.070 O
2.454 6.986 2.378 O
2.382 2.468 6.944 O
0.466 4.038 5.413 O
5.308 4.038 6.082 O
-2.382 3.306 6.944 O
-3.320 6.986 3.369 O
0.419 6.280 4.070 O
-1.675 5.341 5.252 O
-1.151 8.195 2.539 O
-1.151 2.421 8.956 O
4.099 6.207 5.252 O
```

Output
The energy relative to the elements, uncorrected comes out at -247 kJ per mole of atoms. The density of states at the Fermi level comes out at 0.00 states/eV per atom. The value obtained for the size of the total moment is 0.000 μB per cell. The space-group type is I4_1/acd. Its raw total energy is -568.53 eV for the cell shown.

***

(4)
Entry from the Alexandria database: crystalline MgNpSnHg at its relaxed geometry (PBE-GGA).

```
MgNpSnHg
1.0
0.000 3.665 3.665
3.665 0.000 3.665
3.665 3.665 0.000
Mg Np Sn Hg
1 1 1 1
Cartesian
0.000 0.000 0.000 Mg
3.665 3.665 3.665 Np
5.498 5.498 5.498 Sn
1.833 1.833 1.833 Hg
```

Output
The density of states at the Fermi level comes out at 2.29 states/eV per atom. The value obtained for the size of the total moment is 4.574 μB per cell. The space-group type is F-43m. The formation energy is -15 meV/atom. Its raw total energy is -18.90 eV for the cell shown.

***

(5)
Entry from the Alexandria database: crystalline MgGa2Cu at its relaxed geometry (PBE-GGA).

```
MgGa2Cu
1.0
2.094 1.209 4.678
-2.094 1.209 4.678
0.000 -2.418 4.678
Mg Ga Cu
1 2 1
Cartesian
0.000 0.000 0.000 Mg
0.000 0.000 3.087 Ga
0.000 0.000 10.948 Ga
0.000 0.000 7.018 Cu
```

Output
The density of states at the Fermi level comes out at 0.30 states/eV per atom. The value obtained for the size of the total moment is 0.000 μB per cell. The space-group type is R-3m. The formation energy is -52 meV/atom. Its raw total energy is -11.95 eV for the cell shown.

***

(6)
Entry from the Alexandria database: crystalline Li2LaIn at its relaxed geometry (PBE-GGA).

```
Li2LaIn
1.0
3.669 0.000 0.000
0.000 3.669 0.000
0.000 0.000 7.184
Li La In
2 1 1
Cartesian
0.000 0.000 1.398 Li
0.000 0.000 5.786 Li
1.835 1.835 3.592 La
1.835 1.835 0.000 In
```

Output
The density of states at the Fermi level comes out at 0.84 states/eV per atom. The value obtained for the size of the total moment is 0.244 μB per cell. The space-group type is P4/mmm. The formation energy is -103 meV/atom. Its raw total energy is -11.90 eV for the cell shown.

***

(7)
Entry from the Alexandria database: crystalline TbHo4Zn at its relaxed geometry (PBE-GGA).

```
TbHo4Zn
1.0
3.536 0.000 0.000
0.000 3.536 0.000
0.000 0.000 13.628
Tb Ho Zn
1 4 1
Cartesian
0.000 0.000 0.000 Tb
0.000 0.000 5.041 Ho
0.000 0.000 8.587 Ho
1.768 1.768 2.504 Ho
1.768 1.768 11.124 Ho
1.768 1.768 6.814 Zn
```

Output
The density of states at the Fermi level comes out at 1.36 states/eV per atom. The value obtained for the size of the total moment is 0.002 μB per cell. The space-group type is P4/mmm. The formation energy is -99 meV/atom. As for the energy above the most stable polymorph in this dataset: 0.000 eV per atom. Its raw total energy is -24.81 eV for the cell shown.

***

(8)
Entry from the Alexandria database: crystalline LiHfAs2 at its relaxed geometry (PBE-GGA).

```
LiHfAs2
1.0
1.884 1.087 6.596
-1.884 1.087 6.596
0.000 -2.175 6.596
Li Hf As
1 1 2
Cartesian
0.000 0.000 0.000 Li
0.000 0.000 9.894 Hf
0.000 0.000 4.917 As
0.000 0.000 14.870 As
```

Output
The density of states at the Fermi level comes out at 0.56 states/eV per atom. The value obtained for the size of the total moment is 0.000 μB per cell. The space-group type is R-3m. The formation energy is -670 meV/atom. As for the energy above the most stable polymorph in this dataset: 0.037 eV per atom. Its raw total energy is -23.85 eV for the cell shown.